Entry 1:
The following is a PBE calculation of SiPW after structural relaxation, from Alexandria via LeMat-Bulk.

Calculated values
- Total magnetization: 0.000 μB/f.u.
- Energy relative to the elements, uncorrected: -0.16 eV per formula unit
- V: 14.69 Å³/atom
- Relative energy among the computed polymorphs: 111.8 meV per atom
- DOS(E_F): 1.453 states/eV/cell

Lattice parameters (Å, degrees): 3.042 3.042 5.498 90.00 90.00 120.00
Fractional positions:
1 Si 0.000 0.000 0.000
2 P 0.333 0.667 0.664
3 W 0.667 0.333 0.350

=====

Entry 2:
The following is a PBE calculation of SiP2W after structural relaxation, from Alexandria via LeMat-Bulk.

Calculated values
- Total magnetization: 0.000 μB/f.u.
- Energy relative to the elements, uncorrected: 0.40 eV per formula unit
- V: 16.01 Å³/atom
- DOS(E_F): 1.639 states/eV/cell

Lattice parameters (Å, degrees): 3.138 3.138 6.502 90.00 90.00 90.00
Fractional positions:
1 Si 0.000 0.000 0.000
2 P 0.000 0.000 0.422
3 P 0.500 0.500 0.841
4 W 0.500 0.500 0.235

=====

Entry 3:
The following is a PBE calculation of SiP3W after structural relaxation, from Alexandria via LeMat-Bulk.

Calculated values
- Total magnetization: 0.000 μB/f.u.
- Energy relative to the elements, uncorrected: 4.25 eV per formula unit
- V: 20.83 Å³/atom
- Relative energy among the computed polymorphs: 0.0 meV per atom
- DOS(E_F): 5.477 states/eV/cell

Lattice parameters (Å, degrees): 4.705 4.705 4.705 90.00 90.00 90.00
Fractional positions:
1 Si 0.000 0.000 0.000
2 P 0.000 0.500 0.500
3 P 0.500 0.000 0.500
4 P 0.500 0.500 0.000
5 W 0.500 0.500 0.500

=====

Entry 4:
The following is a PBE calculation of SiP2W after structural relaxation, from Alexandria via LeMat-Bulk.

Calculated values
- Total magnetization: 0.000 μB/f.u.
- Energy relative to the elements, uncorrected: 2.31 eV per formula unit
- V: 14.17 Å³/atom
- DOS(E_F): 3.887 states/eV/cell

Lattice parameters (Å, degrees): 4.312 4.312 4.312 60.00 60.00 60.00
Fractional positions:
1 Si 0.000 0.000 0.000
2 P 0.500 0.500 0.500
3 P 0.750 0.750 0.750
4 W 0.250 0.250 0.250

=====

What is the formula in the first record?
SiPW